CuHPt3 | GGA-PBE | optimized geometry

Values from the calculation:
Excess energy over the best structure of this formula in the dataset: 0.035 eV/atom
Magnetic moment: 0.0 μB/cell
Symmetry: No. 221
V: 12.60 Å³ per atom

Cell and atoms, written as extended XYZ:
```
5
Lattice="3.9792 0.0000 0.0000 0.0000 3.9792 0.0000 0.0000 0.0000 3.9792" Properties=species:S:1:pos:R:3 pbc="T T T"
H 0.0000 0.0000 0.0000
Cu 1.9896 1.9896 1.9896
Pt 0.0000 1.9896 0.0000
Pt 0.0000 0.0000 1.9896
Pt 1.9896 0.0000 0.0000
```

=====

PaCu2Bi | GGA-PBE | optimized geometry

Values from the calculation:
Calculated formation energy: 0.076 eV per atom
Excess energy over the best structure of this formula in the dataset: 0.000 eV/atom
Magnetic moment: 0.0 μB/cell
Symmetry: No. 225
V: 20.01 Å³ per atom

Cell and atoms, written as extended XYZ:
```
4
Lattice="4.8375 0.0000 0.0000 2.4187 4.1894 0.0000 2.4187 1.3965 3.9498" Properties=species:S:1:pos:R:3 pbc="T T T"
Pa 0.0000 0.0000 0.0000
Bi 4.8375 2.7929 1.9749
Cu 2.4187 1.3965 0.9874
Cu 7.2562 4.1894 2.9623
```

=====

AlTlO2 | GGA-PBE | optimized geometry

Values from the calculation:
Formation energy (no corrections): -199.75 kJ/mol of atoms
Excess energy over the best structure of this formula in the dataset: 0.059 eV/atom
Magnetic moment: 0.0 μB/cell
Symmetry: No. 2
V: 18.43 Å³ per atom

Cell and atoms, written as extended XYZ:
```
8
Lattice="-0.8454 0.8319 5.2195 -4.2587 -4.4988 2.8356 4.4128 -0.5725 2.9984" Properties=species:S:1:pos:R:3 pbc="T T T"
Tl -0.0341 -0.1571 1.5623
Tl 1.4268 -1.8588 6.6053
Al -0.4910 -3.6220 4.0781
Al -2.3752 -2.8927 6.9254
O -0.8361 -2.4089 2.7621
O -1.4335 -3.2572 5.5016
O -2.0299 -4.1058 8.2413
O 0.3505 -3.1274 9.6110
```

=====

LaPmYHg | GGA-PBE | optimized geometry

Values from the calculation:
Calculated formation energy: -0.060 eV per atom
Excess energy over the best structure of this formula in the dataset: 0.176 eV/atom
Magnetic moment: 0.8 μB/cell
Symmetry: No. 216
V: 30.27 Å³ per atom

Cell and atoms, written as extended XYZ:
```
4
Lattice="-3.9234 -0.9440 3.8145 -5.2135 -1.0684 -1.5850 -2.0997 -5.1032 0.6193" Properties=species:S:1:pos:R:3 pbc="T T T"
Y -8.4275 -5.3366 2.1366
La -2.8092 -1.7789 0.7122
Hg -5.6183 -3.5578 1.4244
Pm 0.0000 0.0000 0.0000
```

=====

V2CrAuN | GGA-PBE | optimized geometry

Values from the calculation:
Formation energy (no corrections): -42.89 kJ/mol of atoms
Magnetic moment: 0.1 μB/cell
Symmetry: No. 123
V: 12.51 Å³ per atom

Cell and atoms, written as extended XYZ:
```
5
Lattice="3.9772 0.0000 0.0000 0.0000 3.9772 0.0000 0.0000 0.0000 3.9551" Properties=species:S:1:pos:R:3 pbc="T T T"
Cr 0.0000 0.0000 1.9776
N 0.0000 0.0000 0.0000
Au 1.9886 1.9886 1.9776
V 0.0000 1.9886 0.0000
V 1.9886 0.0000 0.0000
```

=====

Ca3Cd9Ga2 | GGA-PBE | optimized geometry

Values from the calculation:
Calculated formation energy: -0.236 eV per atom
Magnetic moment: 0.0 μB/cell
Symmetry: No. 71
V: 24.28 Å³ per atom

Cell and atoms, written as extended XYZ:
```
14
Lattice="4.6204 0.0000 1.2410 1.8999 8.3255 2.1482 0.1138 -0.3464 8.7981" Properties=species:S:1:pos:R:3 pbc="T T T"
Ca 0.0000 0.0000 0.0000
Ca 3.8468 2.3681 4.1215
Ca 2.7873 5.6110 8.0659
Cd 1.0068 3.9895 5.4731
Cd 4.9172 7.9924 9.3578
Cd 1.7169 -0.0133 2.8295
Cd 4.4550 5.7483 11.0786
Cd 2.1791 2.2308 1.1087
Cd 5.6501 7.0365 6.6293
Cd 0.9840 0.9426 5.5581
Cd 4.8626 3.2132 9.5610
Cd 1.7715 4.7658 2.6263
Ga 3.0162 2.5287 7.2139
Ga 3.6179 5.4504 4.9734
```

=====

BeCuSCl2 | GGA-PBE | optimized geometry

Values from the calculation:
Formation energy (no corrections): 42.79 kJ/mol of atoms
Excess energy over the best structure of this formula in the dataset: 0.400 eV/atom
Magnetic moment: 0.0 μB/cell
Symmetry: No. 123
V: 19.89 Å³ per atom

Cell and atoms, written as extended XYZ:
```
5
Lattice="-1.7636 -3.4565 2.1802 -0.0034 -2.3733 -3.7654 4.6092 -1.6846 1.0576" Properties=species:S:1:pos:R:3 pbc="T T T"
Be 1.4211 -3.7572 -0.2638
S 2.3046 -0.8423 0.5288
Cu 0.0000 0.0000 0.0000
Cl -0.0017 -1.1867 -1.8827
Cl -0.8818 -1.7283 1.0901
```

=====

ReTcP | GGA-PBE | optimized geometry

Values from the calculation:
Calculated formation energy: 0.054 eV per atom
Excess energy over the best structure of this formula in the dataset: 0.293 eV/atom
Magnetic moment: 0.0 μB/cell
Symmetry: No. 216
V: 16.16 Å³ per atom

Cell and atoms, written as extended XYZ:
```
3
Lattice="0.1407 -4.0249 0.7295 -2.8795 -2.4622 -1.5484 0.9364 -2.5960 -3.0224" Properties=species:S:1:pos:R:3 pbc="T T T"
Re -0.4506 -2.2708 -0.9603
Tc 0.0000 0.0000 0.0000
P -0.9012 -4.5416 -1.9207
```